[1]
This record from the Alexandria database describes a relaxed Nd2Ga6Ag3 crystal. The functional is PBE-GGA.

Cell and atoms, written as CIF:
```
data_Nd2Ga6Ag3
_chemical_formula_sum 'Nd2 Ga6 Ag3'
_symmetry_space_group_name_H-M 'P 1'
_symmetry_Int_Tables_number 1
_symmetry_space_group_name_Hall 'P 1'
_cell_length_a 7.584
_cell_length_b 7.584
_cell_length_c 4.121
_cell_angle_alpha 90.00
_cell_angle_beta 90.00
_cell_angle_gamma 98.72
loop_
_atom_site_label
_atom_site_type_symbol
_atom_site_fract_x
_atom_site_fract_y
_atom_site_fract_z
Nd1 Nd 0.204 0.796 0.000
Nd2 Nd 0.796 0.204 0.000
Ga1 Ga 0.119 0.119 0.500
Ga2 Ga 0.148 0.459 0.500
Ga3 Ga 0.459 0.148 0.500
Ga4 Ga 0.541 0.852 0.500
Ga5 Ga 0.852 0.541 0.500
Ga6 Ga 0.881 0.881 0.500
Ag1 Ag 0.291 0.291 0.000
Ag2 Ag 0.500 0.500 0.500
Ag3 Ag 0.709 0.709 0.000
```



[2]
This record from the Alexandria database describes a relaxed Nd4Ga2Ag5 crystal. The functional is PBE-GGA.

Cell and atoms, written as CIF:
```
data_Nd4Ga2Ag5
_chemical_formula_sum 'Nd4 Ga2 Ag5'
_symmetry_space_group_name_H-M 'P 1'
_symmetry_Int_Tables_number 1
_symmetry_space_group_name_Hall 'P 1'
_cell_length_a 7.307
_cell_length_b 4.270
_cell_length_c 8.714
_cell_angle_alpha 90.00
_cell_angle_beta 94.38
_cell_angle_gamma 90.00
loop_
_atom_site_label
_atom_site_type_symbol
_atom_site_fract_x
_atom_site_fract_y
_atom_site_fract_z
Nd1 Nd 0.210 0.000 0.370
Nd2 Nd 0.243 0.000 0.913
Nd3 Nd 0.757 0.000 0.087
Nd4 Nd 0.790 0.000 0.630
Ga1 Ga 0.078 0.500 0.135
Ga2 Ga 0.922 0.500 0.865
Ag1 Ag 0.148 0.500 0.634
Ag2 Ag 0.449 0.500 0.166
Ag3 Ag 0.500 0.500 0.500
Ag4 Ag 0.551 0.500 0.834
Ag5 Ag 0.852 0.500 0.366
```



[3]
This record from the Alexandria database describes a relaxed NdGa4Ag8 crystal. The functional is PBE-GGA.

Cell and atoms, written as CIF:
```
data_NdGa4Ag8
_chemical_formula_sum 'Nd1 Ga4 Ag8'
_symmetry_space_group_name_H-M 'P 1'
_symmetry_Int_Tables_number 1
_symmetry_space_group_name_Hall 'P 1'
_cell_length_a 7.209
_cell_length_b 7.209
_cell_length_c 7.209
_cell_angle_alpha 97.91
_cell_angle_beta 97.91
_cell_angle_gamma 136.44
loop_
_atom_site_label
_atom_site_type_symbol
_atom_site_fract_x
_atom_site_fract_y
_atom_site_fract_z
Nd1 Nd 0.000 0.000 0.000
Ga1 Ga 0.000 0.000 0.500
Ga2 Ga 0.000 0.500 0.000
Ga3 Ga 0.500 0.000 0.000
Ga4 Ga 0.500 0.500 0.500
Ag1 Ag 0.000 0.349 0.349
Ag2 Ag 0.000 0.651 0.651
Ag3 Ag 0.284 0.500 0.784
Ag4 Ag 0.349 0.000 0.349
Ag5 Ag 0.500 0.284 0.784
Ag6 Ag 0.500 0.716 0.216
Ag7 Ag 0.651 0.000 0.651
Ag8 Ag 0.716 0.500 0.216
```



[4]
This record from the Alexandria database describes a relaxed Nd2Ga3Ag2 crystal. The functional is PBE-GGA.

Calculated values
offset from the most stable computed form = 0.00 eV per formula unit

Cell and atoms, written as CIF:
```
data_Nd2Ga3Ag2
_chemical_formula_sum 'Nd4 Ga6 Ag4'
_symmetry_space_group_name_H-M 'P 1'
_symmetry_Int_Tables_number 1
_symmetry_space_group_name_Hall 'P 1'
_cell_length_a 9.841
_cell_length_b 9.841
_cell_length_c 7.435
_cell_angle_alpha 90.00
_cell_angle_beta 90.00
_cell_angle_gamma 154.46
loop_
_atom_site_label
_atom_site_type_symbol
_atom_site_fract_x
_atom_site_fract_y
_atom_site_fract_z
Nd1 Nd 0.057 0.943 0.750
Nd2 Nd 0.155 0.845 0.250
Nd3 Nd 0.845 0.155 0.750
Nd4 Nd 0.943 0.057 0.250
Ga1 Ga 0.227 0.773 0.750
Ga2 Ga 0.443 0.557 0.578
Ga3 Ga 0.443 0.557 0.922
Ga4 Ga 0.557 0.443 0.078
Ga5 Ga 0.557 0.443 0.422
Ga6 Ga 0.773 0.227 0.250
Ag1 Ag 0.314 0.686 0.056
Ag2 Ag 0.314 0.686 0.444
Ag3 Ag 0.686 0.314 0.556
Ag4 Ag 0.686 0.314 0.944
```



[5]
This record from the Alexandria database describes a relaxed NdGa2Ag3 crystal. The functional is PBE-GGA.

Cell and atoms, written as CIF:
```
data_NdGa2Ag3
_chemical_formula_sum 'Nd2 Ga4 Ag6'
_symmetry_space_group_name_H-M 'P 1'
_symmetry_Int_Tables_number 1
_symmetry_space_group_name_Hall 'P 1'
_cell_length_a 8.587
_cell_length_b 8.587
_cell_length_c 7.729
_cell_angle_alpha 116.44
_cell_angle_beta 116.44
_cell_angle_gamma 29.12
loop_
_atom_site_label
_atom_site_type_symbol
_atom_site_fract_x
_atom_site_fract_y
_atom_site_fract_z
Nd1 Nd 0.145 0.145 0.066
Nd2 Nd 0.855 0.855 0.934
Ga1 Ga 0.205 0.205 0.722
Ga2 Ga 0.483 0.483 0.830
Ga3 Ga 0.517 0.517 0.170
Ga4 Ga 0.795 0.795 0.278
Ag1 Ag 0.044 0.044 0.381
Ag2 Ag 0.314 0.314 0.553
Ag3 Ag 0.398 0.398 0.304
Ag4 Ag 0.602 0.602 0.696
Ag5 Ag 0.686 0.686 0.447
Ag6 Ag 0.956 0.956 0.619
```



[6]
This record from the Alexandria database describes a relaxed Nd5Ga2Ag2 crystal. The functional is PBE-GGA.

Calculated values
offset from the most stable computed form = 0.00 eV per formula unit

Cell and atoms, written as CIF:
```
data_Nd5Ga2Ag2
_chemical_formula_sum 'Nd10 Ga4 Ag4'
_symmetry_space_group_name_H-M 'P 1'
_symmetry_Int_Tables_number 1
_symmetry_space_group_name_Hall 'P 1'
_cell_length_a 9.195
_cell_length_b 9.195
_cell_length_c 7.764
_cell_angle_alpha 90.00
_cell_angle_beta 90.00
_cell_angle_gamma 50.31
loop_
_atom_site_label
_atom_site_type_symbol
_atom_site_fract_x
_atom_site_fract_y
_atom_site_fract_z
Nd1 Nd 0.000 0.000 0.000
Nd2 Nd 0.047 0.681 0.678
Nd3 Nd 0.181 0.547 0.178
Nd4 Nd 0.319 0.953 0.678
Nd5 Nd 0.453 0.819 0.178
Nd6 Nd 0.500 0.500 0.500
Nd7 Nd 0.547 0.181 0.822
Nd8 Nd 0.681 0.047 0.322
Nd9 Nd 0.819 0.453 0.822
Nd10 Nd 0.953 0.319 0.322
Ga1 Ga 0.117 0.883 0.384
Ga2 Ga 0.383 0.617 0.884
Ga3 Ga 0.617 0.383 0.116
Ga4 Ga 0.883 0.117 0.616
Ag1 Ag 0.215 0.215 0.000
Ag2 Ag 0.285 0.285 0.500
Ag3 Ag 0.715 0.715 0.500
Ag4 Ag 0.785 0.785 0.000
```



[7]
This record from the Alexandria database describes a relaxed NdGa3Ag3 crystal. The functional is PBE-GGA.

Calculated values
offset from the most stable computed form = 0.00 eV per formula unit

Cell and atoms, written as CIF:
```
data_NdGa3Ag3
_chemical_formula_sum 'Nd2 Ga6 Ag6'
_symmetry_space_group_name_H-M 'P 1'
_symmetry_Int_Tables_number 1
_symmetry_space_group_name_Hall 'P 1'
_cell_length_a 6.591
_cell_length_b 4.351
_cell_length_c 9.953
_cell_angle_alpha 90.00
_cell_angle_beta 102.17
_cell_angle_gamma 90.00
loop_
_atom_site_label
_atom_site_type_symbol
_atom_site_fract_x
_atom_site_fract_y
_atom_site_fract_z
Nd1 Nd 0.233 0.250 0.401
Nd2 Nd 0.767 0.750 0.599
Ga1 Ga 0.084 0.750 0.112
Ga2 Ga 0.094 0.250 0.680
Ga3 Ga 0.303 0.750 0.624
Ga4 Ga 0.697 0.250 0.376
Ga5 Ga 0.906 0.750 0.320
Ga6 Ga 0.916 0.250 0.888
Ag1 Ag 0.191 0.750 0.868
Ag2 Ag 0.347 0.250 0.050
Ag3 Ag 0.490 0.750 0.232
Ag4 Ag 0.510 0.250 0.768
Ag5 Ag 0.653 0.750 0.950
Ag6 Ag 0.809 0.250 0.132
```



[8]
This record from the Alexandria database describes a relaxed NdGa2Ag crystal. The functional is PBE-GGA.

Calculated values
offset from the most stable computed form = 0.52 eV per formula unit

Cell and atoms, written as CIF:
```
data_NdGa2Ag
_chemical_formula_sum 'Nd1 Ga2 Ag1'
_symmetry_space_group_name_H-M 'P 1'
_symmetry_Int_Tables_number 1
_symmetry_space_group_name_Hall 'P 1'
_cell_length_a 4.508
_cell_length_b 4.508
_cell_length_c 4.261
_cell_angle_alpha 90.00
_cell_angle_beta 90.00
_cell_angle_gamma 90.00
loop_
_atom_site_label
_atom_site_type_symbol
_atom_site_fract_x
_atom_site_fract_y
_atom_site_fract_z
Nd1 Nd 0.000 0.000 0.000
Ga1 Ga 0.000 0.500 0.500
Ga2 Ga 0.500 0.000 0.500
Ag1 Ag 0.500 0.500 0.000
```



| no. | formation energy from the elements (eV/f.u.) |
| --- | --- |
| 1 | -3.012 |
| 2 | -3.398 |
| 3 | -1.902 |
| 4 | -3.347 |
| 5 | -1.705 |
| 6 | -3.044 |
| 7 | -1.803 |
| 8 | -1.423 |